VASP calculation (PBE) on LiNdGdSi after structural relaxation.

a = 7.1883 Å, b = 7.1883 Å, c = 7.1883 Å
α = 90.00°, β = 90.00°, γ = 90.00°
Closest atoms and distances in Å follow each position.
Element x y z (fractional)
Li 0.0000 0.0000 0.0000  4 Gd 3.11, 4 Nd 3.11
Li 0.0000 0.5000 0.5000  4 Gd 3.11, 4 Nd 3.11
Li 0.5000 0.0000 0.5000  4 Gd 3.11, 4 Nd 3.11
Li 0.5000 0.5000 0.0000  4 Gd 3.11, 4 Nd 3.11
Nd 0.2500 0.2500 0.2500  4 Li 3.11, 4 Si 3.11
Nd 0.2500 0.7500 0.7500  4 Li 3.11, 4 Si 3.11
Nd 0.7500 0.2500 0.7500  4 Li 3.11, 4 Si 3.11
Nd 0.7500 0.7500 0.2500  4 Li 3.11, 4 Si 3.11
Gd 0.2500 0.2500 0.7500  4 Li 3.11, 4 Si 3.11
Gd 0.2500 0.7500 0.2500  4 Li 3.11, 4 Si 3.11
Gd 0.7500 0.2500 0.2500  4 Li 3.11, 4 Si 3.11
Gd 0.7500 0.7500 0.7500  4 Li 3.11, 4 Si 3.11
Si 0.0000 0.0000 0.5000  4 Gd 3.11, 4 Nd 3.11
Si 0.0000 0.5000 0.0000  4 Gd 3.11, 4 Nd 3.11
Si 0.5000 0.0000 0.0000  4 Gd 3.11, 4 Nd 3.11
Si 0.5000 0.5000 0.5000  4 Gd 3.11, 4 Nd 3.11

Summary:
Formation energy without anion corrections, eV/f.u.: -1.383
Space-group type: F-43m (216)
Density of states at the Fermi level, states/eV/cell: 15.23

=====

VASP calculation (PBE) on LiNdSmGd after structural relaxation.

a = 7.8919 Å, b = 7.8919 Å, c = 7.8919 Å
α = 90.00°, β = 90.00°, γ = 90.00°
Closest atoms and distances in Å follow each position.
Element x y z (fractional)
Li 0.0000 0.0000 0.0000  4 Nd 3.42, 4 Sm 3.42
Li 0.0000 0.5000 0.5000  4 Nd 3.42, 4 Sm 3.42
Li 0.5000 0.0000 0.5000  4 Nd 3.42, 4 Sm 3.42
Li 0.5000 0.5000 0.0000  4 Nd 3.42, 4 Sm 3.42
Nd 0.2500 0.2500 0.2500  4 Gd 3.42, 4 Li 3.42
Nd 0.2500 0.7500 0.7500  4 Gd 3.42, 4 Li 3.42
Nd 0.7500 0.2500 0.7500  4 Gd 3.42, 4 Li 3.42
Nd 0.7500 0.7500 0.2500  4 Gd 3.42, 4 Li 3.42
Sm 0.2500 0.2500 0.7500  4 Gd 3.42, 4 Li 3.42
Sm 0.2500 0.7500 0.2500  4 Gd 3.42, 4 Li 3.42
Sm 0.7500 0.2500 0.2500  4 Gd 3.42, 4 Li 3.42
Sm 0.7500 0.7500 0.7500  4 Gd 3.42, 4 Li 3.42
Gd 0.0000 0.0000 0.5000  4 Sm 3.42, 4 Nd 3.42
Gd 0.0000 0.5000 0.0000  4 Sm 3.42, 4 Nd 3.42
Gd 0.5000 0.0000 0.0000  4 Sm 3.42, 4 Nd 3.42
Gd 0.5000 0.5000 0.5000  4 Sm 3.42, 4 Nd 3.42

Summary:
Space-group type: F-43m (216)
ΔH_f (0 K), eV per atom: 0.1713
Density of states at the Fermi level, states/eV/cell: 21.06

=====

VASP calculation (PBE) on LiNdGdTl after structural relaxation.

a = 7.6281 Å, b = 7.6281 Å, c = 7.6281 Å
α = 90.00°, β = 90.00°, γ = 90.00°
Closest atoms and distances in Å follow each position.
Element x y z (fractional)
Li 0.0000 0.0000 0.0000  4 Gd 3.30, 4 Nd 3.30
Li 0.0000 0.5000 0.5000  4 Gd 3.30, 4 Nd 3.30
Li 0.5000 0.0000 0.5000  4 Gd 3.30, 4 Nd 3.30
Li 0.5000 0.5000 0.0000  4 Gd 3.30, 4 Nd 3.30
Nd 0.2500 0.2500 0.7500  4 Tl 3.30, 4 Li 3.30
Nd 0.2500 0.7500 0.2500  4 Tl 3.30, 4 Li 3.30
Nd 0.7500 0.2500 0.2500  4 Tl 3.30, 4 Li 3.30
Nd 0.7500 0.7500 0.7500  4 Tl 3.30, 4 Li 3.30
Gd 0.2500 0.2500 0.2500  4 Tl 3.30, 4 Li 3.30
Gd 0.2500 0.7500 0.7500  4 Tl 3.30, 4 Li 3.30
Gd 0.7500 0.2500 0.7500  4 Tl 3.30, 4 Li 3.30
Gd 0.7500 0.7500 0.2500  4 Tl 3.30, 4 Li 3.30
Tl 0.0000 0.0000 0.5000  4 Nd 3.30, 4 Gd 3.30
Tl 0.0000 0.5000 0.0000  4 Nd 3.30, 4 Gd 3.30
Tl 0.5000 0.0000 0.0000  4 Nd 3.30, 4 Gd 3.30
Tl 0.5000 0.5000 0.5000  4 Nd 3.30, 4 Gd 3.30

Summary:
Space-group type: F-43m (216)
ΔH_f (0 K), eV per atom: -0.2114
Density of states at the Fermi level, states/eV/cell: 17.90

=====

VASP calculation (PBE) on LiNdGdTm after structural relaxation.

a = 7.8086 Å, b = 7.8086 Å, c = 7.8086 Å
α = 90.00°, β = 90.00°, γ = 90.00°
Closest atoms and distances in Å follow each position.
Element x y z (fractional)
Li 0.0000 0.0000 0.0000  4 Nd 3.38, 4 Gd 3.38
Li 0.0000 0.5000 0.5000  4 Nd 3.38, 4 Gd 3.38
Li 0.5000 0.0000 0.5000  4 Nd 3.38, 4 Gd 3.38
Li 0.5000 0.5000 0.0000  4 Nd 3.38, 4 Gd 3.38
Nd 0.2500 0.2500 0.7500  4 Li 3.38, 4 Tm 3.38
Nd 0.2500 0.7500 0.2500  4 Tm 3.38, 4 Li 3.38
Nd 0.7500 0.2500 0.2500  4 Tm 3.38, 4 Li 3.38
Nd 0.7500 0.7500 0.7500  4 Li 3.38, 4 Tm 3.38
Gd 0.2500 0.2500 0.2500  4 Li 3.38, 4 Tm 3.38
Gd 0.2500 0.7500 0.7500  4 Li 3.38, 4 Tm 3.38
Gd 0.7500 0.2500 0.7500  4 Li 3.38, 4 Tm 3.38
Gd 0.7500 0.7500 0.2500  4 Li 3.38, 4 Tm 3.38
Tm 0.0000 0.0000 0.5000  4 Gd 3.38, 4 Nd 3.38
Tm 0.0000 0.5000 0.0000  4 Gd 3.38, 4 Nd 3.38
Tm 0.5000 0.0000 0.0000  4 Gd 3.38, 4 Nd 3.38
Tm 0.5000 0.5000 0.5000  4 Gd 3.38, 4 Nd 3.38

Summary:
Space-group type: F-43m (216)
ΔH_f (0 K), eV per atom: 0.1512
Density of states at the Fermi level, states/eV/cell: 17.15

=====

VASP calculation (PBE) on LiNdGdY after structural relaxation.

a = 7.8648 Å, b = 7.8648 Å, c = 7.8648 Å
α = 90.00°, β = 90.00°, γ = 90.00°
Closest atoms and distances in Å follow each position.
Element x y z (fractional)
Li 0.0000 0.0000 0.0000  4 Nd 3.41, 4 Y 3.41
Li 0.0000 0.5000 0.5000  4 Nd 3.41, 4 Y 3.41
Li 0.5000 0.0000 0.5000  4 Nd 3.41, 4 Y 3.41
Li 0.5000 0.5000 0.0000  4 Nd 3.41, 4 Y 3.41
Nd 0.2500 0.2500 0.2500  4 Gd 3.41, 4 Li 3.41
Nd 0.2500 0.7500 0.7500  4 Gd 3.41, 4 Li 3.41
Nd 0.7500 0.2500 0.7500  4 Gd 3.41, 4 Li 3.41
Nd 0.7500 0.7500 0.2500  4 Gd 3.41, 4 Li 3.41
Gd 0.0000 0.0000 0.5000  4 Nd 3.41, 4 Y 3.41
Gd 0.0000 0.5000 0.0000  4 Nd 3.41, 4 Y 3.41
Gd 0.5000 0.0000 0.0000  4 Nd 3.41, 4 Y 3.41
Gd 0.5000 0.5000 0.5000  4 Nd 3.41, 4 Y 3.41
Y 0.2500 0.2500 0.7500  4 Gd 3.41, 4 Li 3.41
Y 0.2500 0.7500 0.2500  4 Gd 3.41, 4 Li 3.41
Y 0.7500 0.2500 0.2500  4 Gd 3.41, 4 Li 3.41
Y 0.7500 0.7500 0.7500  4 Gd 3.41, 4 Li 3.41

Summary:
Space-group type: F-43m (216)
ΔH_f (0 K), eV per atom: 0.1771
Density of states at the Fermi level, states/eV/cell: 21.69

=====

VASP calculation (PBE) on LiNdGdZn after structural relaxation.

a = 7.3730 Å, b = 7.3730 Å, c = 7.3730 Å
α = 90.00°, β = 90.00°, γ = 90.00°
Closest atoms and distances in Å follow each position.
Element x y z (fractional)
Li 0.0000 0.0000 0.0000  4 Nd 3.19, 4 Gd 3.19
Li 0.0000 0.5000 0.5000  4 Gd 3.19, 4 Nd 3.19
Li 0.5000 0.0000 0.5000  4 Gd 3.19, 4 Nd 3.19
Li 0.5000 0.5000 0.0000  4 Gd 3.19, 4 Nd 3.19
Nd 0.2500 0.2500 0.7500  4 Li 3.19, 4 Zn 3.19
Nd 0.2500 0.7500 0.2500  4 Li 3.19, 4 Zn 3.19
Nd 0.7500 0.2500 0.2500  4 Li 3.19, 4 Zn 3.19
Nd 0.7500 0.7500 0.7500  4 Li 3.19, 4 Zn 3.19
Gd 0.2500 0.2500 0.2500  4 Li 3.19, 4 Zn 3.19
Gd 0.2500 0.7500 0.7500  4 Li 3.19, 4 Zn 3.19
Gd 0.7500 0.2500 0.7500  4 Li 3.19, 4 Zn 3.19
Gd 0.7500 0.7500 0.2500  4 Li 3.19, 4 Zn 3.19
Zn 0.0000 0.0000 0.5000  4 Gd 3.19, 4 Nd 3.19
Zn 0.0000 0.5000 0.0000  4 Gd 3.19, 4 Nd 3.19
Zn 0.5000 0.0000 0.0000  4 Gd 3.19, 4 Nd 3.19
Zn 0.5000 0.5000 0.5000  4 Gd 3.19, 4 Nd 3.19

Summary:
Space-group type: F-43m (216)
ΔH_f (0 K), eV per atom: -0.1247
Density of states at the Fermi level, states/eV/cell: 13.78

=====

VASP calculation (PBE) on LiGdNi2 after structural relaxation.

a = 4.0848 Å, b = 4.0848 Å, c = 3.7827 Å
α = 90.00°, β = 90.00°, γ = 90.00°
Closest atoms and distances in Å follow each position.
Element x y z (fractional)
Li 0.0000 0.0000 0.0000  8 Ni 2.78, 4 Gd 2.89
Gd 0.5000 0.5000 0.0000  8 Ni 2.78, 4 Li 2.89
Ni 0.0000 0.5000 0.5000  4 Gd 2.78, 4 Li 2.78, 4 Ni 2.89
Ni 0.5000 0.0000 0.5000  4 Gd 2.78, 4 Li 2.78, 4 Ni 2.89

Summary:
Distance to the lowest polymorph of the same formula, eV/atom: 0.0495
Space-group type: P4/mmm (123)
ΔH_f (0 K), eV per atom: -0.1086
Density of states at the Fermi level, states/eV/cell: 1.32

=====

VASP calculation (PBE) on LiGdNi2 after structural relaxation.

a = 4.1119 Å, b = 4.1119 Å, c = 13.7373 Å
α = 90.00°, β = 90.00°, γ = 120.00°
Closest atoms and distances in Å follow each position.
Element x y z (fractional)
Li 0.0000 0.0000 0.0000  6 Ni 2.42
Li 0.3333 0.6667 0.6667  6 Ni 2.42
Li 0.6667 0.3333 0.3333  6 Ni 2.42
Gd 0.0000 0.0000 0.5000  8 Ni 2.76-2.99
Gd 0.3333 0.6667 0.1667  8 Ni 2.76-2.99
Gd 0.6667 0.3333 0.8333  8 Ni 2.76-2.99
Ni 0.0000 0.0000 0.2988  3 Li 2.42, 3 Ni 2.56
Ni 0.0000 0.0000 0.7012  3 Li 2.42, 3 Ni 2.56
Ni 0.3333 0.6667 0.3679  3 Li 2.42, 3 Ni 2.56
Ni 0.3333 0.6667 0.9655  3 Li 2.42, 3 Ni 2.56
Ni 0.6667 0.3333 0.0345  3 Li 2.42, 3 Ni 2.56
Ni 0.6667 0.3333 0.6321  3 Li 2.42, 3 Ni 2.56

Summary:
Distance to the lowest polymorph of the same formula, eV/atom: 0.0000
Space-group type: R-3m (166)
ΔH_f (0 K), eV per atom: -0.1581
Density of states at the Fermi level, states/eV/cell: 7.31

=====

VASP calculation (PBE) on Li2GdNi after structural relaxation.

a = 2.9827 Å, b = 2.9827 Å, c = 30.2229 Å
α = 90.00°, β = 90.00°, γ = 120.00°
Closest atoms and distances in Å follow each position.
Element x y z (fractional)
Li 0.0000 0.0000 0.1035  3 Ni 2.57
Li 0.0000 0.0000 0.8965  3 Ni 2.57
Li 0.3333 0.6667 0.5632  3 Ni 2.57
Li 0.3333 0.6667 0.7702  3 Ni 2.57
Li 0.6667 0.3333 0.2298  3 Ni 2.57
Li 0.6667 0.3333 0.4368  3 Ni 2.57
Gd 0.0000 0.0000 0.0000  6 Gd 2.98, 2 Li 3.13
Gd 0.3333 0.6667 0.6667  6 Gd 2.98, 2 Li 3.13
Gd 0.6667 0.3333 0.3333  6 Gd 2.98, 2 Li 3.13
Ni 0.0000 0.0000 0.5000  6 Li 2.57
Ni 0.3333 0.6667 0.1667  6 Li 2.57
Ni 0.6667 0.3333 0.8333  6 Li 2.57

Summary:
Space-group type: R-3m (166)
ΔH_f (0 K), eV per atom: 0.3882
Density of states at the Fermi level, states/eV/cell: 11.16

=====

VASP calculation (PBE) on LiGdNi2 after structural relaxation.

a = 3.3363 Å, b = 3.3363 Å, c = 5.7024 Å
α = 90.00°, β = 90.00°, γ = 90.00°
Closest atoms and distances in Å follow each position.
Element x y z (fractional)
Li 0.0000 0.0000 0.0000  8 Ni 2.66, 2 Gd 2.85
Gd 0.0000 0.0000 0.5000  2 Li 2.85, 8 Ni 2.86
Ni 0.5000 0.5000 0.2171  1 Ni 2.48, 4 Li 2.66
Ni 0.5000 0.5000 0.7829  1 Ni 2.48, 4 Li 2.66

Summary:
Distance to the lowest polymorph of the same formula, eV/atom: 0.0365
Space-group type: P4/mmm (123)
ΔH_f (0 K), eV per atom: -0.1216
Density of states at the Fermi level, states/eV/cell: 0.86

=====

VASP calculation (PBE) on LiGdNiPb after structural relaxation.

a = 6.6926 Å, b = 6.6926 Å, c = 6.6926 Å
α = 90.00°, β = 90.00°, γ = 90.00°
Closest atoms and distances in Å follow each position.
Element x y z (fractional)
Li 0.0000 0.0000 0.0000  4 Gd 2.90, 4 Pb 2.90
Li 0.0000 0.5000 0.5000  4 Pb 2.90, 4 Gd 2.90
Li 0.5000 0.0000 0.5000  4 Pb 2.90, 4 Gd 2.90
Li 0.5000 0.5000 0.0000  4 Pb 2.90, 4 Gd 2.90
Gd 0.2500 0.2500 0.2500  4 Li 2.90, 4 Ni 2.90
Gd 0.2500 0.7500 0.7500  4 Li 2.90, 4 Ni 2.90
Gd 0.7500 0.2500 0.7500  4 Li 2.90, 4 Ni 2.90
Gd 0.7500 0.7500 0.2500  4 Li 2.90, 4 Ni 2.90
Ni 0.0000 0.0000 0.5000  4 Gd 2.90, 4 Pb 2.90
Ni 0.0000 0.5000 0.0000  4 Gd 2.90, 4 Pb 2.90
Ni 0.5000 0.0000 0.0000  4 Gd 2.90, 4 Pb 2.90
Ni 0.5000 0.5000 0.5000  4 Gd 2.90, 4 Pb 2.90
Pb 0.2500 0.2500 0.7500  4 Li 2.90, 4 Ni 2.90
Pb 0.2500 0.7500 0.2500  4 Li 2.90, 4 Ni 2.90
Pb 0.7500 0.2500 0.2500  4 Li 2.90, 4 Ni 2.90
Pb 0.7500 0.7500 0.7500  4 Li 2.90, 4 Ni 2.90

Summary:
Space-group type: F-43m (216)
ΔH_f (0 K), eV per atom: -0.3966

=====

VASP calculation (PBE) on LiGdNiPd after structural relaxation.

a = 6.5810 Å, b = 6.5810 Å, c = 6.5810 Å
α = 90.00°, β = 90.00°, γ = 90.00°
Closest atoms and distances in Å follow each position.
Element x y z (fractional)
Li 0.0000 0.0000 0.0000  4 Ni 2.85, 4 Pd 2.85
Li 0.0000 0.5000 0.5000  4 Ni 2.85, 4 Pd 2.85
Li 0.5000 0.0000 0.5000  4 Ni 2.85, 4 Pd 2.85
Li 0.5000 0.5000 0.0000  4 Ni 2.85, 4 Pd 2.85
Gd 0.0000 0.0000 0.5000  4 Pd 2.85, 4 Ni 2.85
Gd 0.0000 0.5000 0.0000  4 Pd 2.85, 4 Ni 2.85
Gd 0.5000 0.0000 0.0000  4 Pd 2.85, 4 Ni 2.85
Gd 0.5000 0.5000 0.5000  4 Ni 2.85, 4 Pd 2.85
Ni 0.2500 0.2500 0.2500  4 Gd 2.85, 4 Li 2.85
Ni 0.2500 0.7500 0.7500  4 Gd 2.85, 4 Li 2.85
Ni 0.7500 0.2500 0.7500  4 Gd 2.85, 4 Li 2.85
Ni 0.7500 0.7500 0.2500  4 Gd 2.85, 4 Li 2.85
Pd 0.2500 0.2500 0.7500  4 Li 2.85, 4 Gd 2.85
Pd 0.2500 0.7500 0.2500  4 Gd 2.85, 4 Li 2.85
Pd 0.7500 0.2500 0.2500  4 Gd 2.85, 4 Li 2.85
Pd 0.7500 0.7500 0.7500  4 Li 2.85, 4 Gd 2.85

Summary:
Space-group type: F-43m (216)
ΔH_f (0 K), eV per atom: -0.3539
Density of states at the Fermi level, states/eV/cell: 8.09

=====

Respective final energy values: -6.892 -6.199 -5.994 -6.157 -6.630 -5.634 -6.998 -7.047 -5.534 -7.011 -6.768 -7.096 eV per atom.